CsSi2Ir2 after structural relaxation, computed with PBE.

a = 8.1972 Å, b = 8.1972 Å, c = 2.9737 Å
α = 90.00°, β = 90.00°, γ = 90.00°
Atoms (fractional coordinates):
Cs  0.0000  0.0000  0.0000
Cs  0.5000  0.5000  0.0000
Si  0.1190  0.3810  0.0000
Si  0.3810  0.8810  0.0000
Si  0.6190  0.1190  0.0000
Si  0.8810  0.6190  0.0000
Ir  0.1252  0.6252  0.5000
Ir  0.3748  0.1252  0.5000
Ir  0.6252  0.8748  0.5000
Ir  0.8748  0.3748  0.5000

Results
* total energy: -5.625 eV/atom
* ΔE to the lowest computed polymorph: 686 meV per atom
* magnetization: 0.00 Bohr magnetons per cell
* ρ: 9532 kg/m3
* uncorrected formation energy: 1.30 eV per formula unit



CsSi3Ir after structural relaxation, computed with PBE.

a = 4.8773 Å, b = 4.8773 Å, c = 4.8773 Å
α = 90.00°, β = 90.00°, γ = 90.00°
Atoms (fractional coordinates):
Cs  0.0000  0.0000  0.0000
Si  0.0000  0.5000  0.5000
Si  0.5000  0.0000  0.5000
Si  0.5000  0.5000  0.0000
Ir  0.5000  0.5000  0.5000

Results
* total energy: -4.670 eV/atom
* ΔE to the lowest computed polymorph: 0 meV per atom
* magnetization: 0.00 Bohr magnetons per cell
* ρ: 5859 kg/m3
* uncorrected formation energy: 2.64 eV per formula unit



CsSi2Ir2 after structural relaxation, computed with PBE.

a = 7.7631 Å, b = 7.7631 Å, c = 7.7631 Å
α = 149.07°, β = 149.07°, γ = 44.30°
Atoms (fractional coordinates):
Cs  0.0000  0.0000  0.0000
Si  0.3300  0.3300  0.0000
Si  0.6700  0.6700  0.0000
Ir  0.2500  0.7500  0.5000
Ir  0.7500  0.2500  0.5000

Results
* total energy: -6.311 eV/atom
* ΔE to the lowest computed polymorph: 0 meV per atom
* magnetization: 0.00 Bohr magnetons per cell
* ρ: 7729 kg/m3
* uncorrected formation energy: -2.13 eV per formula unit



CsSiIr3 after structural relaxation, computed with PBE.

a = 4.6710 Å, b = 4.6710 Å, c = 4.6710 Å
α = 90.00°, β = 90.00°, γ = 90.00°
Atoms (fractional coordinates):
Cs  0.0000  0.0000  0.0000
Si  0.5000  0.5000  0.5000
Ir  0.0000  0.5000  0.5000
Ir  0.5000  0.0000  0.5000
Ir  0.5000  0.5000  0.0000

Results
* total energy: -5.639 eV/atom
* ΔE to the lowest computed polymorph: 0 meV per atom
* magnetization: 0.00 Bohr magnetons per cell
* ρ: 12019 kg/m3
* uncorrected formation energy: 4.67 eV per formula unit



CsSiIr after structural relaxation, computed with PBE.

a = 4.1577 Å, b = 4.1577 Å, c = 11.9199 Å
α = 90.00°, β = 90.00°, γ = 90.00°
Atoms (fractional coordinates):
Cs  0.2500  0.2500  0.2204
Cs  0.7500  0.7500  0.7796
Si  0.2500  0.2500  0.5994
Si  0.7500  0.7500  0.4006
Ir  0.2500  0.7500  0.5000
Ir  0.7500  0.2500  0.5000

Results
* total energy: -5.446 eV/atom
* magnetization: 0.00 Bohr magnetons per cell
* ρ: 5693 kg/m3
* uncorrected formation energy: -1.20 eV per formula unit



CsSi3Ir after structural relaxation, computed with PBE.

a = 5.1885 Å, b = 5.1885 Å, c = 5.1885 Å
α = 90.00°, β = 90.00°, γ = 90.00°
Atoms (fractional coordinates):
Cs  0.0000  0.0000  0.0000
Si  0.0000  0.0000  0.5000
Si  0.0000  0.5000  0.0000
Si  0.5000  0.0000  0.0000
Ir  0.5000  0.5000  0.5000

Results
* total energy: -2.164 eV/atom
* ΔE to the lowest computed polymorph: 2505 meV per atom
* magnetization: 0.00 Bohr magnetons per cell
* ρ: 4867 kg/m3
* uncorrected formation energy: 15.16 eV per formula unit



Cs3SiIr after structural relaxation, computed with PBE.

a = 6.2485 Å, b = 6.2485 Å, c = 6.2485 Å
α = 90.00°, β = 90.00°, γ = 90.00°
Atoms (fractional coordinates):
Cs  0.0000  0.0000  0.5000
Cs  0.0000  0.5000  0.0000
Cs  0.5000  0.0000  0.0000
Si  0.5000  0.5000  0.5000
Ir  0.0000  0.0000  0.0000

Results
* total energy: -2.407 eV/atom
* magnetization: 2.75 Bohr magnetons per cell
* ρ: 4213 kg/m3
* uncorrected formation energy: 4.81 eV per formula unit



CsSi2Ir2 after structural relaxation, computed with PBE.

a = 8.0724 Å, b = 8.0724 Å, c = 8.0724 Å
α = 151.28°, β = 151.28°, γ = 41.06°
Atoms (fractional coordinates):
Cs  0.0000  0.0000  0.0000
Si  0.2500  0.7500  0.5000
Si  0.7500  0.2500  0.5000
Ir  0.3334  0.3334  0.0000
Ir  0.6666  0.6666  0.0000

Results
* total energy: -6.080 eV/atom
* ΔE to the lowest computed polymorph: 230 meV per atom
* magnetization: 0.00 Bohr magnetons per cell
* ρ: 7859 kg/m3
* uncorrected formation energy: -0.98 eV per formula unit



CsSiIr3 after structural relaxation, computed with PBE.

a = 5.0002 Å, b = 5.0002 Å, c = 5.0002 Å
α = 90.00°, β = 90.00°, γ = 90.00°
Atoms (fractional coordinates):
Cs  0.0000  0.0000  0.0000
Si  0.5000  0.5000  0.5000
Ir  0.0000  0.0000  0.5000
Ir  0.0000  0.5000  0.0000
Ir  0.5000  0.0000  0.0000

Results
* total energy: -3.343 eV/atom
* ΔE to the lowest computed polymorph: 2296 meV per atom
* magnetization: 1.08 Bohr magnetons per cell
* ρ: 9798 kg/m3
* uncorrected formation energy: 16.14 eV per formula unit



Cs2SrSiIr after structural relaxation, computed with PBE.

a = 6.3961 Å, b = 6.3961 Å, c = 6.1774 Å
α = 90.00°, β = 90.00°, γ = 90.00°
Atoms (fractional coordinates):
Cs  0.0000  0.5000  0.0000
Cs  0.5000  0.0000  0.0000
Sr  0.0000  0.0000  0.5000
Si  0.0000  0.0000  0.0000
Ir  0.5000  0.5000  0.5000

Results
* total energy: -2.412 eV/atom
* magnetization: 1.40 Bohr magnetons per cell
* ρ: 3770 kg/m3
* uncorrected formation energy: 5.61 eV per formula unit



CsSr2SiIr after structural relaxation, computed with PBE.

a = 6.0099 Å, b = 6.0099 Å, c = 4.7377 Å
α = 90.00°, β = 90.00°, γ = 90.00°
Atoms (fractional coordinates):
Cs  0.0000  0.0000  0.0000
Sr  0.0000  0.5000  0.5000
Sr  0.5000  0.0000  0.5000
Si  0.5000  0.5000  0.0000
Ir  0.5000  0.5000  0.5000

Results
* total energy: -3.824 eV/atom
* magnetization: 0.00 Bohr magnetons per cell
* ρ: 5128 kg/m3
* uncorrected formation energy: -0.62 eV per formula unit



CsV2SiIr after structural relaxation, computed with PBE.

a = 4.8913 Å, b = 4.8913 Å, c = 5.0120 Å
α = 90.00°, β = 90.00°, γ = 90.00°
Atoms (fractional coordinates):
Cs  0.0000  0.0000  0.0000
V  0.0000  0.5000  0.0000
V  0.5000  0.0000  0.0000
Si  0.5000  0.5000  0.5000
Ir  0.0000  0.0000  0.5000

Results
* total energy: -3.876 eV/atom
* magnetization: 4.68 Bohr magnetons per cell
* ρ: 6302 kg/m3
* uncorrected formation energy: 13.99 eV per formula unit



CsY2SiIr after structural relaxation, computed with PBE.

a = 5.5702 Å, b = 5.5702 Å, c = 4.7409 Å
α = 90.00°, β = 90.00°, γ = 90.00°
Atoms (fractional coordinates):
Cs  0.0000  0.0000  0.0000
Y  0.0000  0.5000  0.5000
Y  0.5000  0.0000  0.5000
Si  0.5000  0.5000  0.0000
Ir  0.5000  0.5000  0.5000

Results
* total energy: -5.668 eV/atom
* magnetization: 0.00 Bohr magnetons per cell
* ρ: 5994 kg/m3
* uncorrected formation energy: -0.27 eV per formula unit



CsSn2Ir after structural relaxation, computed with PBE.

a = 5.2256 Å, b = 5.2256 Å, c = 5.2256 Å
α = 60.00°, β = 60.00°, γ = 60.00°
Atoms (fractional coordinates):
Cs  0.0000  0.0000  0.0000
Sn  0.2500  0.2500  0.2500
Sn  0.7500  0.7500  0.7500
Ir  0.5000  0.5000  0.5000

Results
* total energy: -3.813 eV/atom
* ΔE to the lowest computed polymorph: 783 meV per atom
* magnetization: 0.00 Bohr magnetons per cell
* ρ: 9258 kg/m3
* formation enthalpy at 0 K: 0.617 eV per atom



CsSnIr after structural relaxation, computed with PBE.

a = 4.5252 Å, b = 4.5252 Å, c = 9.6133 Å
α = 90.00°, β = 90.00°, γ = 90.00°
Atoms (fractional coordinates):
Cs  0.2500  0.2500  0.1660
Cs  0.7500  0.7500  0.8340
Sn  0.2500  0.2500  0.6452
Sn  0.7500  0.7500  0.3548
Ir  0.2500  0.7500  0.5000
Ir  0.7500  0.2500  0.5000

Results
* total energy: -4.677 eV/atom
* magnetization: 0.00 Bohr magnetons per cell
* ρ: 7488 kg/m3
* formation enthalpy at 0 K: -0.104 eV per atom



CsSn3Ir after structural relaxation, computed with PBE.

a = 5.3620 Å, b = 5.3620 Å, c = 5.3620 Å
α = 90.00°, β = 90.00°, γ = 90.00°
Atoms (fractional coordinates):
Cs  0.0000  0.0000  0.0000
Sn  0.0000  0.5000  0.5000
Sn  0.5000  0.0000  0.5000
Sn  0.5000  0.5000  0.0000
Ir  0.5000  0.5000  0.5000

Results
* total energy: -4.171 eV/atom
* ΔE to the lowest computed polymorph: 0 meV per atom
* magnetization: 0.00 Bohr magnetons per cell
* ρ: 7338 kg/m3
* formation enthalpy at 0 K: 0.173 eV per atom



CsSn2Ir after structural relaxation, computed with PBE.

a = 7.9373 Å, b = 7.9373 Å, c = 7.9373 Å
α = 32.57°, β = 32.57°, γ = 32.57°
Atoms (fractional coordinates):
Cs  0.0000  0.0000  0.0000
Sn  0.2074  0.2074  0.2074
Sn  0.7926  0.7926  0.7926
Ir  0.5000  0.5000  0.5000

Results
* total energy: -4.596 eV/atom
* ΔE to the lowest computed polymorph: 0 meV per atom
* magnetization: 0.00 Bohr magnetons per cell
* ρ: 7246 kg/m3
* formation enthalpy at 0 K: -0.166 eV per atom



Cs2SnIr after structural relaxation, computed with PBE.

a = 9.4814 Å, b = 9.4814 Å, c = 9.4814 Å
α = 94.08°, β = 94.08°, γ = 149.05°
Atoms (fractional coordinates):
Cs  0.3750  0.2089  0.3339
Cs  0.7911  0.1250  0.1661
Cs  0.8750  0.0411  0.6661
Cs  0.9589  0.6250  0.8339
Sn  0.2500  0.7500  0.5000
Sn  0.5000  0.5000  0.0000
Ir  0.0000  0.0000  0.0000
Ir  0.7500  0.2500  0.5000

Results
* total energy: -3.407 eV/atom
* ΔE to the lowest computed polymorph: 0 meV per atom
* magnetization: 0.00 Bohr magnetons per cell
* ρ: 4534 kg/m3
* formation enthalpy at 0 K: 0.236 eV per atom



CsSn2Ir after structural relaxation, computed with PBE.

a = 3.4784 Å, b = 3.4784 Å, c = 8.9573 Å
α = 90.00°, β = 90.00°, γ = 90.00°
Atoms (fractional coordinates):
Cs  0.0000  0.0000  0.0000
Sn  0.5000  0.5000  0.3320
Sn  0.5000  0.5000  0.6680
Ir  0.0000  0.0000  0.5000

Results
* total energy: -4.475 eV/atom
* ΔE to the lowest computed polymorph: 122 meV per atom
* magnetization: 0.00 Bohr magnetons per cell
* ρ: 8619 kg/m3
* formation enthalpy at 0 K: -0.044 eV per atom



CsSn3Ir after structural relaxation, computed with PBE.

a = 5.9365 Å, b = 5.9365 Å, c = 5.9365 Å
α = 90.00°, β = 90.00°, γ = 90.00°
Atoms (fractional coordinates):
Cs  0.0000  0.0000  0.0000
Sn  0.0000  0.0000  0.5000
Sn  0.0000  0.5000  0.0000
Sn  0.5000  0.0000  0.0000
Ir  0.5000  0.5000  0.5000

Results
* total energy: -1.945 eV/atom
* ΔE to the lowest computed polymorph: 2226 meV per atom
* magnetization: 1.18 Bohr magnetons per cell
* ρ: 5407 kg/m3
* formation enthalpy at 0 K: 2.400 eV per atom



Cs2SnIr after structural relaxation, computed with PBE.

a = 5.8836 Å, b = 5.8836 Å, c = 5.8836 Å
α = 60.00°, β = 60.00°, γ = 60.00°
Atoms (fractional coordinates):
Cs  0.2500  0.2500  0.2500
Cs  0.7500  0.7500  0.7500
Sn  0.0000  0.0000  0.0000
Ir  0.5000  0.5000  0.5000

Results
* total energy: -2.553 eV/atom
* ΔE to the lowest computed polymorph: 854 meV per atom
* magnetization: 0.00 Bohr magnetons per cell
* ρ: 6650 kg/m3
* formation enthalpy at 0 K: 1.089 eV per atom



Cs2SrIr after structural relaxation, computed with PBE.

a = 9.1429 Å, b = 9.1429 Å, c = 9.1429 Å
α = 120.07°, β = 120.07°, γ = 89.89°
Atoms (fractional coordinates):
Cs  0.3750  0.1290  0.2540
Cs  0.8710  0.1250  0.2460
Cs  0.8750  0.1210  0.7460
Cs  0.8790  0.6250  0.7540
Sr  0.2500  0.7500  0.5000
Sr  0.5000  0.5000  0.0000
Ir  0.0000  0.0000  0.0000
Ir  0.7500  0.2500  0.5000

Results
* total energy: -2.025 eV/atom
* ΔE to the lowest computed polymorph: 135 meV per atom
* magnetization: 0.00 Bohr magnetons per cell
* ρ: 3357 kg/m3
* formation enthalpy at 0 K: 1.038 eV per atom



Cs3SrIr after structural relaxation, computed with PBE.

a = 6.6727 Å, b = 6.6727 Å, c = 6.6727 Å
α = 90.00°, β = 90.00°, γ = 90.00°
Atoms (fractional coordinates):
Cs  0.0000  0.0000  0.5000
Cs  0.0000  0.5000  0.0000
Cs  0.5000  0.0000  0.0000
Sr  0.5000  0.5000  0.5000
Ir  0.0000  0.0000  0.0000

Results
* total energy: -1.886 eV/atom
* magnetization: 0.00 Bohr magnetons per cell
* ρ: 3792 kg/m3
* formation enthalpy at 0 K: 0.735 eV per atom



CsSr3Ir after structural relaxation, computed with PBE.

a = 6.1127 Å, b = 6.1127 Å, c = 6.1127 Å
α = 90.00°, β = 90.00°, γ = 90.00°
Atoms (fractional coordinates):
Cs  0.0000  0.0000  0.0000
Sr  0.0000  0.5000  0.5000
Sr  0.5000  0.0000  0.5000
Sr  0.5000  0.5000  0.0000
Ir  0.5000  0.5000  0.5000

Results
* total energy: -2.964 eV/atom
* ΔE to the lowest computed polymorph: 0 meV per atom
* magnetization: 0.00 Bohr magnetons per cell
* ρ: 4275 kg/m3
* formation enthalpy at 0 K: -0.012 eV per atom



CsSr3Ir after structural relaxation, computed with PBE.

a = 5.9079 Å, b = 5.9079 Å, c = 5.9079 Å
α = 90.00°, β = 90.00°, γ = 90.00°
Atoms (fractional coordinates):
Cs  0.0000  0.0000  0.0000
Sr  0.0000  0.0000  0.5000
Sr  0.0000  0.5000  0.0000
Sr  0.5000  0.0000  0.0000
Ir  0.5000  0.5000  0.5000

Results
* total energy: -1.234 eV/atom
* ΔE to the lowest computed polymorph: 1730 meV per atom
* magnetization: 0.04 Bohr magnetons per cell
* ρ: 4735 kg/m3
* formation enthalpy at 0 K: 1.718 eV per atom



Cs2SrIr after structural relaxation, computed with PBE.

a = 5.8648 Å, b = 5.8648 Å, c = 5.8648 Å
α = 60.00°, β = 60.00°, γ = 60.00°
Atoms (fractional coordinates):
Cs  0.2500  0.2500  0.2500
Cs  0.7500  0.7500  0.7500
Sr  0.0000  0.0000  0.0000
Ir  0.5000  0.5000  0.5000

Results
* total energy: -2.160 eV/atom
* ΔE to the lowest computed polymorph: 0 meV per atom
* magnetization: 0.00 Bohr magnetons per cell
* ρ: 6352 kg/m3
* formation enthalpy at 0 K: 0.903 eV per atom



CsSr2TcIr after structural relaxation, computed with PBE.

a = 5.7936 Å, b = 5.7936 Å, c = 6.0080 Å
α = 90.00°, β = 90.00°, γ = 90.00°
Atoms (fractional coordinates):
Cs  0.0000  0.0000  0.0000
Sr  0.0000  0.5000  0.5000
Sr  0.5000  0.0000  0.5000
Tc  0.5000  0.5000  0.0000
Ir  0.0000  0.0000  0.5000

Results
* total energy: -3.590 eV/atom
* magnetization: 3.24 Bohr magnetons per cell
* ρ: 4927 kg/m3
* formation enthalpy at 0 K: 1.099 eV per atom



CsSrTl2Ir after structural relaxation, computed with PBE.

a = 5.4614 Å, b = 5.4614 Å, c = 5.8079 Å
α = 90.00°, β = 90.00°, γ = 90.00°
Atoms (fractional coordinates):
Cs  0.0000  0.0000  0.0000
Sr  0.5000  0.5000  0.0000
Tl  0.0000  0.5000  0.5000
Tl  0.5000  0.0000  0.5000
Ir  0.5000  0.5000  0.5000

Results
* total energy: -3.264 eV/atom
* magnetization: 0.00 Bohr magnetons per cell
* ρ: 7875 kg/m3
* formation enthalpy at 0 K: -0.038 eV per atom